# PBE with a Hubbard U NiClF, optimized geometry
# calculated density: 4.04 g/cm3
# excess energy over the best structure of this formula in the dataset: 0.0 meV per atom
# energy: -10.59 eV per formula unit
data_NiClF
_chemical_formula_sum 'Ni4 Cl4 F4'
_cell_length_a 7.4315
_cell_length_b 7.4315
_cell_length_c 3.3644
_cell_angle_alpha 90.00
_cell_angle_beta 90.00
_cell_angle_gamma 90.00
_space_group_name_H-M_alt 'P 42/m'
_space_group_IT_number 84
_space_group_name_Hall '-P 4c'
loop_
_atom_site_label
_atom_site_type_symbol
_atom_site_fract_x
_atom_site_fract_y
_atom_site_fract_z
Ni1 Ni 0.2161 0.2262 0.0000
Cl1 Cl 0.2210 0.4494 0.5000
F1 F 0.0580 0.7873 0.0000